(1)
The following is a DFT calculation (SCAN) of LaBiI2 at its PBEsol-relaxed geometry.

Results
Energy relative to the elements, uncorrected = -0.622 eV per atom

a b c (Å): 5.6108 5.6108 5.6108
angles (deg): 60.00 60.00 60.00
Sites, in units of the cell vectors:
I (0.2500, 0.2500, 0.2500)
I (0.7500, 0.7500, 0.7500)
La (0.0000, 0.0000, 0.0000)
Bi (0.5000, 0.5000, 0.5000)

---

(2)
The following is a DFT calculation (SCAN) of Y2ZrBr at its PBEsol-relaxed geometry.

Results
Energy relative to the elements, uncorrected = -0.482 eV per atom

a b c (Å): 3.3834 3.3834 8.9545
angles (deg): 90.00 90.00 90.49
Sites, in units of the cell vectors:
Y (0.0000, 0.0000, 0.7489)
Y (0.0000, 0.0000, 0.2511)
Zr (0.5000, 0.5000, 0.5000)
Br (0.5000, 0.5000, 0.0000)

---

(3)
The following is a DFT calculation (SCAN) of TbSbPd at its PBEsol-relaxed geometry.

Results
Energy relative to the elements, uncorrected = -1.226 eV per atom

a b c (Å): 4.5450 4.5450 7.2974
angles (deg): 90.00 90.00 120.00
Sites, in units of the cell vectors:
Tb (0.0000, 0.0000, 0.9833)
Tb (0.0000, 0.0000, 0.4833)
Sb (0.3333, 0.6667, 0.2110)
Sb (0.6667, 0.3333, 0.7110)
Pd (0.6667, 0.3333, 0.3147)
Pd (0.3333, 0.6667, 0.8147)

---

(4)
The following is a DFT calculation (SCAN) of Fe2IrW at its PBEsol-relaxed geometry.

Results
DFT formation energy = 0.1 eV/f.u.

a b c (Å): 3.5762 3.7171 3.7171
angles (deg): 90.00 90.00 90.00
Sites, in units of the cell vectors:
Fe (0.0000, 0.0000, 0.5000)
Fe (0.0000, 0.5000, 0.0000)
W (0.5000, 0.0000, 0.0000)
Ir (0.5000, 0.5000, 0.5000)

---

(5)
The following is a DFT calculation (SCAN) of PBr at its PBEsol-relaxed geometry.

Results
Energy relative to the elements, uncorrected = 0.396 eV per atom

a b c (Å): 3.4033 4.2934 6.5072
angles (deg): 109.26 90.00 90.00
Sites, in units of the cell vectors:
Br (0.2500, 0.8674, 0.7348)
Br (0.7500, 0.1326, 0.2652)
P (0.7500, 0.4364, 0.8729)
P (0.2500, 0.5636, 0.1271)

---

(6)
The following is a DFT calculation (SCAN) of Sr2AgPt at its PBEsol-relaxed geometry.

Results
DFT formation energy = -1.8 eV/f.u.

a b c (Å): 4.3793 4.3738 6.1485
angles (deg): 90.04 90.00 90.00
Sites, in units of the cell vectors:
Sr (0.5000, 0.5000, 0.5000)
Sr (0.0000, 0.0000, 0.0000)
Ag (0.5000, 0.5000, 0.0000)
Pt (0.0000, 0.0000, 0.5000)

---

(7)
The following is a DFT calculation (SCAN) of BeBiPt3 at its PBEsol-relaxed geometry.

Results
DFT formation energy = -2.3 eV/f.u.

a b c (Å): 3.9223 3.9223 10.3862
angles (deg): 90.00 90.00 90.00
Sites, in units of the cell vectors:
Pt (0.0000, 0.0000, 0.6364)
Pt (0.5000, 0.5000, 0.3636)
Pt (0.5000, 0.5000, 0.6364)
Pt (0.5000, 0.0000, 0.8291)
Pt (0.0000, 0.0000, 0.3636)
Pt (0.0000, 0.5000, 0.1709)
Be (0.5000, 0.0000, 0.4974)
Be (0.0000, 0.5000, 0.5026)
Bi (0.0000, 0.5000, 0.8900)
Bi (0.5000, 0.0000, 0.1100)

---

(8)
The following is a DFT calculation (SCAN) of SrSbH2 at its PBEsol-relaxed geometry.

Results
E_tot = -16.63 eV/atom

a b c (Å): 4.6666 4.6666 7.5124
angles (deg): 108.10 108.10 90.00
Sites, in units of the cell vectors:
H (0.9483, 0.3750, 0.2500)
H (0.3017, 0.8750, 0.2500)
H (0.1250, 0.0517, 0.7500)
H (0.6250, 0.6983, 0.7500)
Sr (0.7500, 0.2500, 0.5000)
Sr (0.5000, 0.5000, 0.0000)
Sb (0.2500, 0.7500, 0.5000)
Sb (0.0000, 0.0000, 0.0000)

---

Respective magnetization values: 0.000; 0.000; 0.000; 0.000; 0.000; 0.000; 0.000; 0.000 μB per formula unit.